DFT (PBE) results for crystalline LiAcEr2Au4 at its relaxed geometry.

Unit cell a=9.3538 b=9.3538 c=9.3538 alpha=30.87 beta=30.87 gamma=30.87
Positions (direct):
Li  0.0000  0.0000  0.0000
Ac  0.5000  0.5000  0.5000
Er  0.2684  0.2684  0.2684
Er  0.7316  0.7316  0.7316
Au  0.1011  0.1011  0.1011
Au  0.3784  0.3784  0.3784
Au  0.6216  0.6216  0.6216
Au  0.8989  0.8989  0.8989

Calculated values
Electronic total energy in eV/atom: -4.288
Energy of formation from the pure elements in eV/atom: -0.7562
Spin magnetization in μB per cell: 0.000
Symmetry: No. 166